## Mn2CdO4 (GGA+U)

Data for an optimized crystal structure of Mn2CdO4.

Cell: 5.961 5.961 6.512 Å, 62.75 62.75 89.98°
Last column: magnetic moment on the atom in μB.
Positions (direct):
Mn 0.000 0.500 0.000  3.94
Mn 0.000 0.500 0.500  3.94
Mn 0.500 0.500 0.500  3.94
Mn 0.000 0.000 0.000  3.94
Cd 0.375 0.125 0.250  0.02
Cd 0.625 0.875 0.750  0.02
O 0.768 0.734 0.031  -0.03
O 0.234 0.700 0.531  -0.03
O 0.200 0.734 0.031  -0.03
O 0.232 0.266 0.969  -0.03
O 0.766 0.300 0.469  -0.03
O 0.766 0.732 0.469  -0.03
O 0.234 0.268 0.531  -0.03
O 0.800 0.266 0.969  -0.03

Symmetry ... I4_1/amd
Excess energy over the best structure of this formula in the dataset ... 0.00 eV/f.u.
Density ... 5.39 g cm⁻³
Crystal system ... tetragonal